DyThI: optimized geometry, GGA-PBE.

abc: 3.780 3.780 17.323
angles: 96.33 96.33 60.00
Element x y z (fractional)
Dy 0.083 0.083 0.247
Dy 0.917 0.917 0.753
Th 0.361 0.361 0.082
Th 0.639 0.639 0.918
I 0.207 0.207 0.626
I 0.793 0.793 0.374

magnetic moment	0.43	μB/f.u.
volume	35.43	Å³/atom
space group	C2/m, No. 12
ρ	8.15	g cm⁻³
formation energy (no corrections)	-0.519	eV/atom


MgBeNO2: optimized geometry, GGA-PBE.

abc: 3.802 3.802 4.050
angles: 90.00 90.00 90.00
Element x y z (fractional)
Mg 0.000 0.000 0.000
Be 0.500 0.500 0.500
N 0.000 0.000 0.500
O 0.000 0.500 0.000
O 0.500 0.000 0.000

magnetic moment	3.00	μB/f.u.
volume	11.71	Å³/atom
space group	P4/mmm, No. 123
ρ	2.25	g cm⁻³
formation energy (no corrections)	0.472	eV/atom


Pm2DySe: optimized geometry, GGA-PBE.

abc: 9.979 9.979 9.979
angles: 22.27 22.27 22.27
Element x y z (fractional)
Pm 0.233 0.233 0.233
Pm 0.767 0.767 0.767
Dy 0.000 0.000 0.000
Se 0.500 0.500 0.500

magnetic moment	0.00	μB/f.u.
volume	31.30	Å³/atom
space group	R-3m, No. 166
ρ	7.05	g cm⁻³
formation energy (no corrections)	-0.774	eV/atom


CdCu: optimized geometry, GGA-PBE.

abc: 5.255 5.255 6.482
angles: 107.69 107.69 35.89
Element x y z (fractional)
Cd 0.000 0.000 0.000
Cd 0.001 0.001 0.463
Cd 0.691 0.691 0.820
Cu 0.314 0.314 0.170
Cu 0.336 0.336 0.620
Cu 0.686 0.686 0.335

magnetic moment	0.00	μB/f.u.
E	-2.448	eV per atom
volume	16.57	Å³/atom
space group	Cm, No. 8
ρ	8.82	g cm⁻³


Er4BiSb: optimized geometry, GGA-PBE.

abc: 11.171 11.171 6.325
angles: 90.00 90.00 151.56
Element x y z (fractional)
Er 0.071 0.929 0.750
Er 0.212 0.788 0.503
Er 0.212 0.788 0.997
Er 0.361 0.639 0.750
Er 0.639 0.361 0.250
Er 0.788 0.212 0.003
Er 0.788 0.212 0.497
Er 0.929 0.071 0.250
Bi 0.071 0.929 0.250
Bi 0.929 0.071 0.750
Sb 0.346 0.654 0.250
Sb 0.654 0.346 0.750

magnetic moment	0.00	μB/f.u.
volume	31.32	Å³/atom
space group	Cmcm, No. 63
ρ	8.83	g cm⁻³
formation energy (no corrections)	-0.487	eV/atom


Ac6La5: optimized geometry, GGA-PBE.

abc: 10.102 10.102 5.954
angles: 107.11 107.11 114.93
Element x y z (fractional)
Ac 0.065 0.355 0.710
Ac 0.209 0.209 0.210
Ac 0.355 0.065 0.710
Ac 0.645 0.935 0.290
Ac 0.791 0.791 0.790
Ac 0.935 0.645 0.290
La 0.202 0.798 0.000
La 0.343 0.657 0.500
La 0.500 0.500 0.000
La 0.657 0.343 0.500
La 0.798 0.202 0.000

magnetic moment	0.00	μB/f.u.
volume	41.93	Å³/atom
space group	C2/m, No. 12
ρ	7.40	g cm⁻³
offset from the most stable computed form	0	meV/atom


> Which formula does entry 5 have?

Er4BiSb


What did the fourth record say?
CdCu: optimized geometry, GGA-PBE.

abc: 5.255 5.255 6.482
angles: 107.69 107.69 35.89
Element x y z (fractional)
Cd 0.000 0.000 0.000
Cd 0.001 0.001 0.463
Cd 0.691 0.691 0.820
Cu 0.314 0.314 0.170
Cu 0.336 0.336 0.620
Cu 0.686 0.686 0.335

magnetic moment	0.00	μB/f.u.
E	-2.448	eV per atom
volume	16.57	Å³/atom
space group	Cm, No. 8
ρ	8.82	g cm⁻³